# 1
Compound: K2Li3GaO4
Source: the Alexandria database
Functional: PBE
Structure: optimized geometry

Cell: 5.6051 8.9095 11.0572 Å, 90.00 111.12 90.00°
Closest atoms and distances in Å follow each position.
Element x y z (fractional)
K 0.2089 0.0073 0.3624  2 Li 2.75-2.83, 6 O 2.76-2.99
K 0.2089 0.4927 0.8624  2 Li 2.75-2.83, 6 O 2.76-2.99
K 0.2206 0.2284 0.6093  6 O 2.73-3.02, 3 Li 2.89-3.05
K 0.2206 0.2716 0.1093  6 O 2.73-3.02, 3 Li 2.89-3.05
K 0.7794 0.7284 0.8907  6 O 2.73-3.02, 3 Li 2.89-3.05
K 0.7794 0.7716 0.3907  6 O 2.73-3.02, 3 Li 2.89-3.05
K 0.7911 0.5073 0.1376  2 Li 2.75-2.83, 6 O 2.76-2.99
K 0.7911 0.9927 0.6376  2 Li 2.75-2.83, 6 O 2.76-2.99
Li 0.1161 0.7385 0.7008  4 O 1.97-2.11
Li 0.1161 0.7615 0.2008  4 O 1.97-2.11
Li 0.1289 0.0092 0.9304  4 O 1.94-2.08
Li 0.1289 0.4908 0.4304  4 O 1.94-2.08
Li 0.4060 0.5342 0.2976  3 O 1.98-2.00
Li 0.4060 0.9658 0.7976  3 O 1.98-2.00
Li 0.5940 0.0342 0.2024  3 O 1.98-2.00
Li 0.5940 0.4658 0.7024  3 O 1.98-2.00
Li 0.8711 0.5092 0.5696  4 O 1.94-2.08
Li 0.8711 0.9908 0.0696  4 O 1.94-2.08
Li 0.8839 0.2385 0.7992  4 O 1.97-2.11
Li 0.8839 0.2615 0.2992  4 O 1.97-2.11
Ga 0.3970 0.7114 0.5634  4 O 1.88-1.91
Ga 0.3970 0.7886 0.0634  4 O 1.88-1.91
Ga 0.6030 0.2114 0.9366  4 O 1.88-1.91
Ga 0.6030 0.2886 0.4366  4 O 1.88-1.91
O 0.2413 0.5514 0.6235  1 Ga 1.91, 4 Li 1.98-2.11
O 0.2413 0.9486 0.1235  1 Ga 1.91, 4 Li 1.98-2.11
O 0.2502 0.1777 0.8577  1 Ga 1.88, 2 Li 1.94-1.99
O 0.2502 0.3223 0.3577  1 Ga 1.88, 2 Li 1.94-1.99
O 0.2668 0.6900 0.3815  1 Ga 1.89, 3 Li 1.97-2.08
O 0.2668 0.8100 0.8815  1 Ga 1.89, 3 Li 1.97-2.08
O 0.2819 0.6090 0.1150  1 Ga 1.89, 2 Li 2.00-2.06
O 0.2819 0.8910 0.6150  1 Ga 1.89, 2 Li 2.00-2.06
O 0.7181 0.1090 0.3850  1 Ga 1.89, 2 Li 2.00-2.06
O 0.7181 0.3910 0.8850  1 Ga 1.89, 2 Li 2.00-2.06
O 0.7332 0.1900 0.1185  1 Ga 1.89, 3 Li 1.97-2.08
O 0.7332 0.3100 0.6185  1 Ga 1.89, 3 Li 1.97-2.08
O 0.7498 0.6777 0.6423  1 Ga 1.88, 2 Li 1.94-1.99
O 0.7498 0.8223 0.1423  1 Ga 1.88, 2 Li 1.94-1.99
O 0.7587 0.0514 0.8765  1 Ga 1.91, 4 Li 1.98-2.11
O 0.7587 0.4486 0.3765  1 Ga 1.91, 4 Li 1.98-2.11

Output
Total moment = 0.00 μB/cell
Electronic total energy = -4.86 eV/atom
Formation energy without anion corrections = -1.78 eV/atom

***

# 2
Compound: Ba2TlPd3
Source: the Alexandria database
Functional: PBE
Structure: optimized geometry

Cell: 9.4215 9.3169 6.5462 Å, 70.41 68.70 40.89°
Closest atoms and distances in Å follow each position.
Element x y z (fractional)
Ba 0.2407 0.7593 0.7593  10 Pd 3.48-3.61, 2 Tl 3.57
Ba 0.2500 0.2500 0.2500  8 Pd 3.54, 4 Tl 3.55
Ba 0.7500 0.7500 0.7500  8 Pd 3.54, 4 Tl 3.55
Ba 0.7593 0.2407 0.2407  10 Pd 3.48-3.61, 2 Tl 3.57
Tl 0.3349 0.3349 0.6651  3 Pd 2.73-2.74
Tl 0.6651 0.6651 0.3349  3 Pd 2.73-2.74
Pd 0.1653 0.6683 0.3317  2 Pd 2.71-2.72, 1 Tl 2.73
Pd 0.1667 0.1667 0.8333  2 Pd 2.72, 1 Tl 2.74
Pd 0.3317 0.8347 0.1653  2 Pd 2.71-2.72, 1 Tl 2.73
Pd 0.6683 0.1653 0.8347  2 Pd 2.71-2.72, 1 Tl 2.73
Pd 0.8333 0.8333 0.1667  2 Pd 2.72, 1 Tl 2.74
Pd 0.8347 0.3317 0.6683  2 Pd 2.71-2.72, 1 Tl 2.73

Output
Energy of formation from the pure elements = -10.38 kcal/mol of atoms
Total moment = 0.00 μB/cell
Electronic total energy = -4.08 eV/atom